Entry 1:
VASP calculation (PBE with a Hubbard U) on a relaxed CuMoSO crystal. Values from VASP.

The structure in Quantum ESPRESSO input format:
```
&SYSTEM
  ibrav = 0, nat = 8, ntyp = 4
/
ATOMIC_SPECIES
S 32.06 S.upf
Mo 95.94 Mo.upf
O 16.00 O.upf
Cu 63.55 Cu.upf
ATOMIC_POSITIONS angstrom
S -3.427 2.481 2.210
S -4.945 2.426 -0.582
Mo -5.144 0.912 2.721
Mo -5.509 3.390 1.576
O 0.184 2.246 0.490
O -1.369 2.170 -2.237
Cu -1.545 2.430 1.164
Cu -2.963 2.198 -1.319
CELL_PARAMETERS angstrom
-1.624 2.634 -4.537
-5.569 -0.397 4.247
0.812 2.786 1.326
```

Summary:
Mass density in g cm⁻³: 5.86
ΔE to the lowest computed polymorph in eV/atom: 0.1268
Symmetry: No. 6
Fermi-level density of states in states/eV/atom: 0.099



Entry 2:
VASP calculation (PBE with a Hubbard U) on a relaxed CuMoSO crystal. Values from VASP.

The structure in Quantum ESPRESSO input format:
```
&SYSTEM
  ibrav = 0, nat = 8, ntyp = 4
/
ATOMIC_SPECIES
S 32.06 S.upf
Mo 95.94 Mo.upf
O 16.00 O.upf
Cu 63.55 Cu.upf
ATOMIC_POSITIONS angstrom
S -3.049 2.393 -1.127
S -7.688 6.739 -3.785
Mo -5.416 3.185 -1.479
Mo -3.164 4.764 -0.887
O -4.833 3.395 -3.640
O -5.258 5.256 -0.970
Cu -6.192 6.400 -2.180
Cu -5.186 4.999 -4.584
CELL_PARAMETERS angstrom
-1.830 5.871 -1.442
-4.079 2.541 -5.266
-2.842 -0.227 1.812
```

Summary:
Mass density in g cm⁻³: 6.09
ΔE to the lowest computed polymorph in eV/atom: 0.1401
Symmetry: No. 1
Fermi-level density of states in states/eV/atom: 0.000



Entry 3:
VASP calculation (PBE with a Hubbard U) on a relaxed Cu3MoSO9 crystal. Values from VASP.

The structure in Quantum ESPRESSO input format:
```
&SYSTEM
  ibrav = 0, nat = 56, ntyp = 4
/
ATOMIC_SPECIES
Cu 63.55 Cu.upf
Mo 95.94 Mo.upf
S 32.06 S.upf
O 16.00 O.upf
ATOMIC_POSITIONS angstrom
Cu -7.377 0.771 3.336
Cu -7.703 -5.466 3.044
Cu -8.559 -3.845 9.434
Cu -6.520 -0.850 -3.054
Cu -12.162 -4.321 5.409
Cu -2.917 -0.373 0.971
Cu -5.694 -3.762 1.144
Cu -9.385 -0.933 5.236
Cu -2.605 2.090 -0.879
Cu -7.540 -2.347 3.190
Cu 0.000 0.000 0.000
Cu -4.934 -4.438 4.069
Mo -8.448 -2.157 -0.450
Mo -6.631 -2.537 6.830
Mo -9.005 -5.730 6.275
Mo -6.074 1.035 0.105
S -10.524 -3.429 2.676
S -4.556 -1.266 3.704
S -4.217 -3.139 -1.751
S -10.862 -1.556 8.130
O -13.240 -5.049 6.871
O -1.839 0.355 -0.491
O -6.427 -3.914 2.952
O -8.653 -0.780 3.428
O -8.492 -7.444 6.612
O -6.588 2.749 -0.233
O -9.375 -0.644 -0.041
O -4.309 0.921 0.537
O -5.704 -4.051 6.421
O -10.771 -5.616 5.843
O -7.983 -2.222 5.652
O -7.096 -2.473 0.728
O -7.804 -2.051 -2.105
O -7.275 -2.644 8.485
O -8.012 -5.040 4.972
O -7.068 0.345 1.408
O -10.981 -3.408 4.081
O -4.098 -1.287 2.299
O -5.087 -3.805 -0.759
O -9.993 -0.889 7.139
O -9.572 -3.545 -0.420
O -5.507 -1.149 6.800
O -8.706 -4.743 7.733
O -6.374 0.048 -1.354
O -11.590 -2.711 7.541
O -3.490 -1.984 -1.161
O -7.376 -5.912 1.015
O -7.703 1.218 5.364
O -9.032 -3.591 2.629
O -6.047 -1.104 3.751
O -5.043 -2.653 -2.906
O -4.220 -2.570 4.367
O -10.036 -2.042 9.286
O -10.860 -2.125 2.012
O -11.863 -0.575 8.669
O -3.216 -4.119 -2.289
CELL_PARAMETERS angstrom
-5.211 4.181 -1.759
-3.448 -5.753 -3.458
-6.420 -3.123 11.597
```

Summary:
Mass density in g cm⁻³: 4.33
Symmetry: No. 62
Fermi-level density of states in states/eV/atom: 0.220
Raw total energy in eV/atom: -5.903



Entry 4:
VASP calculation (PBE with a Hubbard U) on a relaxed CuSbMo2O8 crystal. Values from VASP.

The structure in Quantum ESPRESSO input format:
```
&SYSTEM
  ibrav = 0, nat = 24, ntyp = 4
/
ATOMIC_SPECIES
Cu 63.55 Cu.upf
Sb 121.76 Sb.upf
Mo 95.94 Mo.upf
O 16.00 O.upf
ATOMIC_POSITIONS angstrom
Cu -6.430 -0.250 2.143
Cu -5.455 -1.107 -1.408
Sb -11.596 0.692 0.310
Sb -12.173 -3.404 1.160
Mo -8.392 -1.742 -0.589
Mo -14.408 -1.755 -1.452
Mo -15.378 -0.971 2.059
Mo -9.361 -0.957 2.922
O -3.573 -0.271 -0.297
O -10.313 -2.481 3.242
O -16.100 -1.106 -1.331
O -13.786 -0.597 3.382
O -11.072 0.152 2.407
O -19.380 -1.320 -0.705
O -20.196 -2.442 1.767
O -14.269 -1.400 0.675
O -12.697 -2.865 -0.937
O -4.390 -1.393 2.175
O -6.805 -1.085 0.002
O -16.964 -1.627 1.468
O -9.501 -1.313 0.795
O -7.670 -1.607 2.801
O -13.456 -0.231 -1.772
O -9.983 -2.115 -1.912
CELL_PARAMETERS angstrom
-11.263 2.191 -0.415
-10.909 -2.213 -2.815
-1.597 -2.690 4.700
```

Summary:
Mass density in g cm⁻³: 5.34
Symmetry: No. 15
Raw total energy in eV/atom: -6.531



Entry 5:
VASP calculation (PBE with a Hubbard U) on a relaxed CuSiMo2O crystal. Values from VASP.

The structure in Quantum ESPRESSO input format:
```
&SYSTEM
  ibrav = 0, nat = 5, ntyp = 4
/
ATOMIC_SPECIES
O 16.00 O.upf
Mo 95.94 Mo.upf
Si 28.09 Si.upf
Cu 63.55 Cu.upf
ATOMIC_POSITIONS angstrom
O -1.268 -0.948 -0.679
Mo -0.712 -0.752 2.381
Mo -1.606 2.033 0.162
Si 0.000 0.000 0.000
Cu -3.586 0.334 1.864
CELL_PARAMETERS angstrom
-3.213 4.067 0.323
-2.536 -1.895 -1.357
-1.424 -1.504 4.761
```

Summary:
Mass density in g cm⁻³: 5.36
Symmetry: No. 123
Fermi-level density of states in states/eV/atom: 0.421
Raw total energy in eV/atom: -4.996



Entry 6:
VASP calculation (PBE with a Hubbard U) on a relaxed CuSiMoO2 crystal. Values from VASP.

The structure in Quantum ESPRESSO input format:
```
&SYSTEM
  ibrav = 0, nat = 5, ntyp = 4
/
ATOMIC_SPECIES
O 16.00 O.upf
Mo 95.94 Mo.upf
Si 28.09 Si.upf
Cu 63.55 Cu.upf
ATOMIC_POSITIONS angstrom
O 0.000 0.000 1.893
O 1.893 0.000 0.000
Mo 0.000 0.000 0.000
Si 0.000 2.759 0.000
Cu 1.893 2.759 1.893
CELL_PARAMETERS angstrom
3.786 0.000 0.000
0.000 5.518 0.000
0.000 0.000 3.786
```

Summary:
Mass density in g cm⁻³: 4.61
Symmetry: No. 123
Fermi-level density of states in states/eV/atom: 0.232
Raw total energy in eV/atom: -5.683



Entry 7:
VASP calculation (PBE with a Hubbard U) on a relaxed SmCuMo2O8 crystal. Values from VASP.

The structure in Quantum ESPRESSO input format:
```
&SYSTEM
  ibrav = 0, nat = 96, ntyp = 4
/
ATOMIC_SPECIES
Sm 150.36 Sm.upf
Cu 63.55 Cu.upf
Mo 95.94 Mo.upf
O 16.00 O.upf
ATOMIC_POSITIONS angstrom
Sm 2.217 4.841 5.891
Sm 2.777 4.841 13.327
Sm 2.217 10.046 1.545
Sm 2.777 10.046 8.981
Sm 7.211 5.569 1.545
Sm 7.771 5.569 8.981
Sm 7.211 0.364 5.891
Sm 7.771 0.364 13.327
Cu 8.073 1.899 10.337
Cu 6.909 7.104 4.535
Cu 8.073 7.104 11.970
Cu 3.079 3.306 10.337
Cu 1.915 8.511 4.535
Cu 3.079 8.511 11.970
Cu 6.909 1.899 2.901
Cu 1.915 3.306 2.901
Mo 8.287 9.343 2.275
Mo 5.009 7.496 6.574
Mo 5.009 2.291 0.862
Mo 1.701 6.272 9.711
Mo 3.293 1.067 5.160
Mo 0.015 8.119 6.574
Mo 4.979 2.914 8.297
Mo 6.695 4.138 12.596
Mo 1.701 1.067 12.596
Mo 4.979 8.119 14.010
Mo 6.695 9.343 9.711
Mo 9.973 2.291 8.297
Mo 0.015 2.914 0.862
Mo 8.287 4.138 5.160
Mo 3.293 6.272 2.275
Mo 9.973 7.496 14.010
O 2.560 5.074 10.813
O 5.995 4.024 9.280
O 3.934 8.652 7.405
O 1.113 1.887 1.968
O 2.434 10.279 4.059
O 7.106 4.417 14.302
O 2.112 0.788 14.302
O 1.060 8.652 14.841
O 7.253 7.671 10.145
O 4.932 4.290 12.398
O 2.735 2.739 4.727
O 4.038 9.028 0.349
O 8.875 3.318 9.403
O 7.428 0.131 3.377
O 6.054 6.963 14.841
O 5.995 9.229 13.027
O 4.932 9.495 9.909
O 7.729 2.466 4.727
O 3.881 7.092 12.904
O 1.113 7.092 5.468
O 0.062 9.495 2.473
O 7.729 7.671 2.709
O 7.554 0.131 10.813
O 1.001 6.386 13.027
O 2.882 0.788 6.866
O 0.062 4.290 4.962
O 7.876 9.622 0.570
O 7.876 4.417 6.866
O 1.060 3.447 7.466
O 7.253 2.466 12.163
O 2.882 5.993 0.570
O 2.259 2.739 12.163
O 4.038 3.823 7.086
O 5.056 6.120 2.473
O 8.928 6.963 7.405
O 2.259 7.944 10.145
O 7.106 9.622 8.005
O 3.993 1.181 1.845
O 7.554 5.336 11.494
O 9.926 6.120 9.909
O 2.434 5.074 3.377
O 2.560 10.279 11.494
O 9.032 6.587 0.349
O 2.112 5.993 8.005
O 3.993 6.386 5.591
O 5.950 6.587 7.785
O 5.950 1.382 14.522
O 2.735 7.944 2.709
O 3.934 3.447 0.030
O 0.956 9.028 7.785
O 1.001 1.181 9.280
O 8.928 1.758 0.030
O 9.032 1.382 7.086
O 8.987 4.024 1.845
O 6.107 8.523 5.468
O 7.428 5.336 4.059
O 3.881 1.887 9.403
O 8.875 8.523 12.904
O 8.987 9.229 5.591
O 5.056 0.915 4.962
O 6.107 3.318 1.968
O 0.956 3.823 14.522
O 9.926 0.915 12.398
O 6.054 1.758 7.466
CELL_PARAMETERS angstrom
9.988 0.000 0.000
0.000 10.410 0.000
0.000 0.000 14.871
```

Summary:
Mass density in g cm⁻³: 4.59
Symmetry: No. 61
Fermi-level density of states in states/eV/atom: 0.000
Raw total energy in eV/atom: -7.122



Entry 8:
VASP calculation (PBE with a Hubbard U) on a relaxed CuSnMo2O crystal. Values from VASP.

The structure in Quantum ESPRESSO input format:
```
&SYSTEM
  ibrav = 0, nat = 5, ntyp = 4
/
ATOMIC_SPECIES
O 16.00 O.upf
Mo 95.94 Mo.upf
Sn 118.71 Sn.upf
Cu 63.55 Cu.upf
ATOMIC_POSITIONS angstrom
O 2.751 2.368 2.751
Mo 0.000 0.000 2.751
Mo 2.751 0.000 0.000
Sn 0.000 0.000 0.000
Cu 0.000 2.368 0.000
CELL_PARAMETERS angstrom
5.501 0.000 0.000
0.000 4.735 0.000
0.000 0.000 5.501
```

Summary:
Mass density in g cm⁻³: 4.52
Symmetry: No. 123
Fermi-level density of states in states/eV/atom: 0.681
Raw total energy in eV/atom: -3.814